Material: HoEr3Tl4
Method: DFT, PBE-GGA
State: optimized geometry

The space group is Pmn2_1 (No. 31) and the conventional cell measures 10.517, 6.498 and 6.512 Å, with angles of 90.00, 90.00 and 90.00 degrees. The asymmetric unit holds Ho at (0.000, 0.044, 0.000), Er at (0.000, 0.544, 0.124), Er at (0.250, 0.251, 0.312), Tl at (0.000, 0.015, 0.507), Tl at (0.000, 0.514, 0.617) and Tl at (0.249, 0.751, 0.312).

The energy above the most stable polymorph in this dataset comes out at 122.5 meV per atom. Its formation energy is -1.55 eV per formula unit. The value obtained for the density is 11.1 g/cm³.